# BaNiHg2F8

Crystalline BaNiHg2F8 at its relaxed geometry (GGA+U, Alexandria).

The total energy comes out at -3.847 eV/atom.

The structure belongs to space group P-1 (No. 2); the cell edges are 4.753, 5.443 and 7.555 Å and the angles 89.95°, 89.92° and 89.26°. Symmetry generates all atoms from Ba at (0.000, 0.000, 0.000), Ni at (0.000, 0.000, 0.500), Hg at (0.500, 0.500, 0.271), F at (0.138, 0.776, 0.702), F at (0.140, 0.778, 0.297), F at (0.331, 0.237, 0.501) and F at (0.461, 0.261, 0.001).